Zr2ScOs2: optimized geometry, PBE-GGA.

Values from the calculation:
Formation energy from the elements in meV per atom: -249
Distance to the lowest polymorph of the same formula in meV per atom: 172

Unit cell a=7.693 b=7.693 c=3.294 alpha=90.00 beta=90.00 gamma=90.00
Positions (direct):
Zr1 0.153 0.347 0.000
Zr2 0.347 0.847 0.000
Zr3 0.653 0.153 0.000
Zr4 0.847 0.653 0.000
Sc1 0.000 0.000 0.500
Sc2 0.500 0.500 0.500
Os1 0.143 0.643 0.500
Os2 0.357 0.143 0.500
Os3 0.643 0.857 0.500
Os4 0.857 0.357 0.500

***

CoTcOs2: optimized geometry, PBE-GGA.

Values from the calculation:
Formation energy from the elements in meV per atom: 179
Distance to the lowest polymorph of the same formula in meV per atom: 78

Unit cell a=8.771 b=8.771 c=8.771 alpha=17.73 beta=17.73 gamma=17.73
Positions (direct):
Co1 0.000 0.000 0.000
Tc1 0.252 0.252 0.252
Os1 0.500 0.500 0.500
Os2 0.747 0.747 0.747

***

TbCeBiSe: optimized geometry, PBE-GGA.

Values from the calculation:
Formation energy from raw total energies in kJ per mole of atoms: -118.9

Unit cell a=7.896 b=7.896 c=7.896 alpha=31.26 beta=31.26 gamma=31.26
Positions (direct):
Tb1 0.000 0.000 0.000
Ce1 0.184 0.184 0.184
Bi1 0.422 0.422 0.422
Se1 0.597 0.597 0.597

***

FePC: optimized geometry, PBE-GGA.

Values from the calculation:
Formation energy from the elements in meV per atom: 210
Distance to the lowest polymorph of the same formula in meV per atom: 78

Unit cell a=4.059 b=4.059 c=6.743 alpha=113.54 beta=113.54 gamma=41.58
Positions (direct):
Fe1 0.000 0.000 0.000
Fe2 0.624 0.624 0.725
P1 0.322 0.322 0.139
P2 0.345 0.345 0.729
C1 0.069 0.069 0.519
C2 0.958 0.958 0.292

***

Number 1: volume 194.9 Å³/cell. Number 2: volume 54.6 Å³/cell. Number 3: volume 117.6 Å³/cell. Number 4: volume 66.6 Å³/cell.